Arrangement a

Below is crystalline OsWO2 at its relaxed geometry, with properties calculated at the PBE with a Hubbard U level.

Lattice parameters (Å, degrees): 4.0015 4.0015 4.0015 60.00 60.00 60.00
With the nearest neighbours (Å) after each atom.
Sites, in units of the cell vectors:
1 Os 0.5000 0.5000 0.5000  8 O 2.45
2 O 0.7500 0.7500 0.7500  4 W 2.45, 4 Os 2.45
3 O 0.2500 0.2500 0.2500  4 W 2.45, 4 Os 2.45
4 W 0.0000 0.0000 0.0000  8 O 2.45

Values from the calculation:
Symmetry: Fm-3m, No. 225

=====

Arrangement b

Below is crystalline OsWO2 at its relaxed geometry, with properties calculated at the PBE with a Hubbard U level.

Lattice parameters (Å, degrees): 4.7265 4.7265 5.9071 66.42 66.42 90.00
With the nearest neighbours (Å) after each atom.
Sites, in units of the cell vectors:
1 O 0.3750 0.3836 0.7500  2 W 2.04, 2 Os 2.09
2 W 0.5000 0.5000 0.0000  4 O 2.04
3 Os 0.0000 0.0000 0.0000  4 O 2.09
4 Os 0.7500 0.2500 0.5000  4 O 2.09
5 O 0.8750 0.8664 0.7500  2 W 2.04, 2 Os 2.09
6 O 0.1336 0.6250 0.2500  2 W 2.04, 2 Os 2.09
7 O 0.6164 0.1250 0.2500  2 W 2.04, 2 Os 2.09
8 W 0.2500 0.7500 0.5000  4 O 2.04

Values from the calculation:
Symmetry: I-42d, No. 122

=====

Arrangement c

Below is crystalline OsWO2 at its relaxed geometry, with properties calculated at the PBE with a Hubbard U level.

Lattice parameters (Å, degrees): 7.1320 7.1320 7.1320 22.23 22.23 22.23
With the nearest neighbours (Å) after each atom.
Sites, in units of the cell vectors:
1 W 0.5000 0.5000 0.5000  6 O 2.15
2 O 0.0970 0.0970 0.0970  1 Os 2.02, 3 W 2.15
3 Os 0.0000 0.0000 0.0000  2 O 2.02
4 O 0.9030 0.9030 0.9030  1 Os 2.02, 3 W 2.15

Values from the calculation:
Symmetry: R-3m, No. 166

=====

Least stable = arrangement a

=====

Arrangement a

Below is crystalline Os2W2O at its relaxed geometry, with properties calculated at the PBE with a Hubbard U level.

Lattice parameters (Å, degrees): 7.4581 7.4581 2.9351 90.00 90.00 90.00
With the nearest neighbours (Å) after each atom.
Sites, in units of the cell vectors:
1 Os 0.6385 0.1385 0.0000  6 W 2.63, 2 O 2.89, 3 Os 2.92-2.94
2 Os 0.1385 0.3615 0.0000  6 W 2.63, 2 O 2.89, 3 Os 2.92-2.94
3 O 0.0000 0.0000 0.0000  4 Os 2.89, 2 O 2.94, 8 W 3.18
4 Os 0.3615 0.8615 0.0000  6 W 2.63, 2 O 2.89, 3 Os 2.92-2.94
5 W 0.3459 0.1541 0.5000  6 Os 2.63, 2 W 2.94
6 W 0.6541 0.8459 0.5000  6 Os 2.63, 2 W 2.94
7 W 0.1541 0.6541 0.5000  6 Os 2.63, 2 W 2.94
8 W 0.8459 0.3459 0.5000  6 Os 2.63, 2 W 2.94
9 Os 0.8615 0.6385 0.0000  6 W 2.63, 2 O 2.89, 3 Os 2.92-2.94
10 O 0.5000 0.5000 0.0000  4 Os 2.89, 2 O 2.94, 8 W 3.18

Values from the calculation:
Symmetry: P4/mbm, No. 127

=====

Arrangement b

Below is crystalline Os2W2O at its relaxed geometry, with properties calculated at the PBE with a Hubbard U level.

Lattice parameters (Å, degrees): 4.1932 4.1932 6.1604 70.10 70.10 90.00
With the nearest neighbours (Å) after each atom.
Sites, in units of the cell vectors:
1 O 0.0000 0.0000 0.0000  8 Os 3.23, 8 W 3.42
2 Os 0.6190 0.6190 0.7619  4 W 2.53, 1 Os 2.57
3 W 0.7500 0.2500 0.5000  4 Os 2.53
4 W 0.2500 0.7500 0.5000  4 Os 2.53
5 Os 0.3810 0.3810 0.2381  4 W 2.53, 1 Os 2.57

Values from the calculation:
Symmetry: I4/mmm, No. 139

=====

Least stable = arrangement b

=====

Arrangement a

Below is crystalline Zr2OsWO at its relaxed geometry, with properties calculated at the PBE with a Hubbard U level.

Lattice parameters (Å, degrees): 5.0601 4.8941 5.0601 90.00 90.00 90.00
With the nearest neighbours (Å) after each atom.
Sites, in units of the cell vectors:
1 Os 0.0000 0.0000 0.0000  2 W 2.45, 4 Zr 2.53
2 Zr 0.5000 0.0000 0.0000  2 Os 2.53
3 Zr 0.0000 0.0000 0.5000  2 Os 2.53
4 O 0.5000 0.5000 0.5000  8 Zr 3.52, 4 W 3.58
5 W 0.0000 0.5000 0.0000  2 Os 2.45

Values from the calculation:
Symmetry: P4/mmm, No. 123

=====

Arrangement b

Below is crystalline Zr2OsWO at its relaxed geometry, with properties calculated at the PBE with a Hubbard U level.

Lattice parameters (Å, degrees): 4.4610 4.1790 4.4610 90.00 90.00 90.00
With the nearest neighbours (Å) after each atom.
Sites, in units of the cell vectors:
1 Zr 0.5000 0.0000 0.0000  2 O 2.23
2 W 0.0000 0.5000 0.0000  2 O 2.09
3 Zr 0.0000 0.0000 0.5000  2 O 2.23
4 O 0.0000 0.0000 0.0000  2 W 2.09, 4 Zr 2.23
5 Os 0.5000 0.5000 0.5000  8 Zr 3.06, 4 W 3.15

Values from the calculation:
Symmetry: P4/mmm, No. 123

=====

Least stable = arrangement a